Entry 1:
# Ba2MnB6O12

A geometry-optimized Ba2MnB6O12 structure (PBEsol, Alexandria via LeMat-Bulk).

Unit cell a=6.931 b=6.931 c=6.931 alpha=61.63 beta=61.63 gamma=61.63
Atoms (fractional coordinates):
Ba  0.211  0.211  0.211
Ba  0.789  0.789  0.789
Mn  0.000  0.000  0.000
B  0.243  0.360  0.636
B  0.360  0.636  0.243
B  0.364  0.757  0.640
B  0.636  0.243  0.360
B  0.640  0.364  0.757
B  0.757  0.640  0.364
O  0.083  0.321  0.843
O  0.157  0.917  0.679
O  0.197  0.576  0.462
O  0.321  0.843  0.083
O  0.424  0.538  0.803
O  0.462  0.197  0.576
O  0.538  0.803  0.424
O  0.576  0.462  0.197
O  0.679  0.157  0.917
O  0.803  0.424  0.538
O  0.843  0.083  0.321
O  0.917  0.679  0.157

The space group is R-3, No. 148. For the raw total energy, the calculation gives -8.1784 eV per atom. The value obtained for the formation energy from raw total energies is -2504.6 meV per atom.

Entry 2:
# Tb3GaCo3

A geometry-optimized Tb3GaCo3 structure (PBEsol, Alexandria via LeMat-Bulk).

Unit cell a=5.305 b=5.305 c=12.663 alpha=90.00 beta=90.00 gamma=135.37
Atoms (fractional coordinates):
Tb  0.005  0.995  0.750
Tb  0.293  0.707  0.604
Tb  0.293  0.707  0.896
Tb  0.707  0.293  0.104
Tb  0.707  0.293  0.396
Tb  0.995  0.005  0.250
Ga  0.000  0.000  0.000
Ga  0.000  0.000  0.500
Co  0.295  0.705  0.250
Co  0.418  0.582  0.094
Co  0.418  0.582  0.406
Co  0.582  0.418  0.594
Co  0.582  0.418  0.906
Co  0.705  0.295  0.750

The space group is Cmcm, No. 63. The energy of formation from the pure elements comes out at -0.3512 eV/atom. For the raw total energy, the calculation gives -6.2914 eV per atom.

Entry 3:
# InH3Br

A geometry-optimized InH3Br structure (PBEsol, Alexandria via LeMat-Bulk).

Unit cell a=3.944 b=3.944 c=3.944 alpha=90.00 beta=90.00 gamma=90.00
Atoms (fractional coordinates):
In  0.000  0.000  0.000
H  0.000  0.000  0.500
H  0.000  0.500  0.000
H  0.500  0.000  0.000
Br  0.500  0.500  0.500

The space group is Pm-3m, No. 221. For the raw total energy, the calculation gives -2.4960 eV per atom.

Entry 4:
# CdMoPb2

A geometry-optimized CdMoPb2 structure (PBEsol, Alexandria via LeMat-Bulk).

Unit cell a=3.054 b=3.054 c=10.641 alpha=90.00 beta=90.00 gamma=106.09
Atoms (fractional coordinates):
Cd  0.000  0.000  0.000
Mo  0.000  0.000  0.500
Pb  0.500  0.500  0.288
Pb  0.500  0.500  0.712

The space group is Cmmm, No. 65. The energy of formation from the pure elements comes out at 0.5148 eV/atom. For the raw total energy, the calculation gives -4.7258 eV per atom.

Entry 5:
# CaSc2B

A geometry-optimized CaSc2B structure (PBEsol, Alexandria via LeMat-Bulk).

Unit cell a=9.625 b=9.625 c=9.625 alpha=21.31 beta=21.31 gamma=21.31
Atoms (fractional coordinates):
Ca  0.000  0.000  0.000
Sc  0.125  0.125  0.125
Sc  0.875  0.875  0.875
B  0.500  0.500  0.500

The space group is R-3m, No. 166. The energy of formation from the pure elements comes out at 0.0835 eV/atom. For the raw total energy, the calculation gives -5.5064 eV per atom.

Entry 6:
# BaNd2Ti3O10

A geometry-optimized BaNd2Ti3O10 structure (PBEsol, Alexandria via LeMat-Bulk).

Unit cell a=14.141 b=14.141 c=7.607 alpha=90.00 beta=90.00 gamma=164.19
Atoms (fractional coordinates):
Ba  0.243  0.757  0.750
Ba  0.757  0.243  0.250
Nd  0.073  0.927  0.750
Nd  0.080  0.920  0.250
Nd  0.920  0.080  0.750
Nd  0.927  0.073  0.250
Ti  0.354  0.646  0.006
Ti  0.354  0.646  0.494
Ti  0.500  0.500  0.000
Ti  0.500  0.500  0.500
Ti  0.646  0.354  0.506
Ti  0.646  0.354  0.994
O  0.000  0.000  0.000
O  0.000  0.000  0.500
O  0.131  0.869  0.508
O  0.131  0.869  0.992
O  0.292  0.708  0.049
O  0.292  0.708  0.451
O  0.353  0.647  0.750
O  0.378  0.622  0.250
O  0.433  0.567  0.554
O  0.433  0.567  0.946
O  0.483  0.517  0.250
O  0.517  0.483  0.750
O  0.567  0.433  0.054
O  0.567  0.433  0.446
O  0.622  0.378  0.750
O  0.647  0.353  0.250
O  0.708  0.292  0.549
O  0.708  0.292  0.951
O  0.869  0.131  0.008
O  0.869  0.131  0.492

The space group is Cmcm, No. 63. For the raw total energy, the calculation gives -8.8841 eV per atom. The value obtained for the formation energy from raw total energies is -3262.7 meV per atom.